SrAl2Cl | PBE | optimized geometry

Cell: 7.3010 7.3010 7.3010 Å, 90.00 90.00 90.00°
With the nearest neighbours (Å) after each atom.
Atoms (fractional coordinates):
Sr: 0.0000 0.0000 0.0000  4 Al 3.16, 4 Cl 3.16
Sr: 0.0000 0.5000 0.5000  4 Cl 3.16, 4 Al 3.16
Sr: 0.5000 0.0000 0.5000  4 Cl 3.16, 4 Al 3.16
Sr: 0.5000 0.5000 0.0000  4 Cl 3.16, 4 Al 3.16
Al: 0.0000 0.0000 0.5000  4 Cl 3.16, 4 Al 3.16
Al: 0.0000 0.5000 0.0000  4 Cl 3.16, 4 Al 3.16
Al: 0.2500 0.2500 0.2500  4 Al 3.16, 4 Sr 3.16
Al: 0.2500 0.7500 0.7500  4 Al 3.16, 4 Sr 3.16
Al: 0.5000 0.0000 0.0000  4 Cl 3.16, 4 Al 3.16
Al: 0.5000 0.5000 0.5000  4 Cl 3.16, 4 Al 3.16
Al: 0.7500 0.2500 0.7500  4 Al 3.16, 4 Sr 3.16
Al: 0.7500 0.7500 0.2500  4 Al 3.16, 4 Sr 3.16
Cl: 0.2500 0.2500 0.7500  4 Al 3.16, 4 Sr 3.16
Cl: 0.2500 0.7500 0.2500  4 Al 3.16, 4 Sr 3.16
Cl: 0.7500 0.2500 0.2500  4 Al 3.16, 4 Sr 3.16
Cl: 0.7500 0.7500 0.7500  4 Al 3.16, 4 Sr 3.16

Output
formation energy (no corrections) = -30 kJ per mole of atoms
polymorph energy (0 for the lowest one) = 0.322 eV/atom
DOS at the Fermi energy = 4.015 states/eV/f.u.